(1)
SrSc2TaSi after structural relaxation. Source: Alexandria via LeMat-Bulk, functional PBE.

Unit cell a=5.1710 b=4.9276 c=5.1710 alpha=90.00 beta=90.00 gamma=90.00
Last column: nearest neighbours and their distance in Å.
Fractional positions:
Sc 0.5000 0.0000 0.0000  2 Si 2.59
Ta 0.0000 0.5000 0.0000  2 Si 2.46
Sr 0.5000 0.5000 0.5000  8 Sc 3.57, 4 Ta 3.66
Sc 0.0000 0.0000 0.5000  2 Si 2.59
Si 0.0000 0.0000 0.0000  2 Ta 2.46, 4 Sc 2.59

* E_form (uncorrected): 6.61 kcal/mol of atoms
* crystal system: tetragonal

(2)
MgAl2Mo after structural relaxation. Source: Alexandria via LeMat-Bulk, functional PBE.

Unit cell a=5.0713 b=5.0713 c=4.9285 alpha=83.53 beta=83.53 gamma=31.74
Last column: nearest neighbours and their distance in Å.
Fractional positions:
Mo 0.7443 0.7443 0.7619  2 Mo 2.77, 7 Al 2.81-2.88, 3 Mg 2.87-2.98
Mg 0.4962 0.4962 0.4995  7 Al 2.77-3.01, 2 Mg 2.77, 3 Mo 2.87-2.98
Al 0.2552 0.2552 0.2538  3 Mg 2.77-3.01, 5 Al 2.77-2.97, 4 Mo 2.81-2.85
Al 0.0043 0.0043 0.9848  4 Mg 2.77-2.88, 5 Al 2.77-2.97, 3 Mo 2.83-2.88

* energy of formation: 0.00 eV per atom
* crystal system: monoclinic

(3)
Pm3Ho2ScBi6 after structural relaxation. Source: Alexandria via LeMat-Bulk, functional PBE.

Unit cell a=4.4942 b=8.9762 c=10.0329 alpha=102.75 beta=102.94 gamma=90.00
Last column: nearest neighbours and their distance in Å.
Fractional positions:
Bi 0.9992 0.7638 0.9984  2 Sc 3.09, 1 Ho 3.15, 3 Pm 3.22-3.27
Ho 0.1658 0.3326 0.3316  6 Bi 3.14-3.16
Bi 0.6686 0.5789 0.3371  3 Ho 3.14-3.16, 3 Pm 3.21
Bi 0.0008 0.2362 0.0016  2 Sc 3.09, 1 Ho 3.15, 3 Pm 3.22-3.27
Bi 0.6611 0.0857 0.3221  1 Sc 3.07, 2 Ho 3.14, 3 Pm 3.21-3.25
Pm 0.8318 0.1658 0.6636  6 Bi 3.21-3.25
Bi 0.3314 0.4211 0.6629  3 Ho 3.14-3.16, 3 Pm 3.21
Bi 0.3389 0.9143 0.6779  1 Sc 3.07, 2 Ho 3.14, 3 Pm 3.21-3.25
Sc 0.5000 0.0000 0.0000  6 Bi 3.07-3.09
Pm 0.5000 0.5000 0.0000  6 Bi 3.21-3.27
Pm 0.1682 0.8342 0.3364  6 Bi 3.21-3.25
Ho 0.8342 0.6674 0.6684  6 Bi 3.14-3.16

* energy of formation: -0.85 eV per atom
* crystal system: monoclinic

| no. | raw total energy (eV/cell) | ρ (g cm⁻³) |
| --- | --- | --- |
| 1 | -30.188 | 4.9 |
| 2 | -19.923 | 4.4 |
| 3 | -63.232 | 8.9 |